! CuRuI, relaxed, DFT PBE-GGA; values from VASP
&SYSTEM
  ibrav = 0, nat = 6, ntyp = 3
/
ATOMIC_SPECIES
Cu 63.55 Cu.upf
Ru 101.07 Ru.upf
I 126.90 I.upf
CELL_PARAMETERS angstrom
1.962 1.133 10.420
-1.962 1.133 10.420
0.000 -2.266 10.420
ATOMIC_POSITIONS crystal
Cu 0.000 0.000 0.000
Cu 0.368 0.368 0.368
Ru 0.285 0.285 0.285
Ru 0.921 0.921 0.921
I 0.535 0.535 0.535
I 0.747 0.747 0.747
! Total DFT energy (no corrections) in eV/atom: -4.6653
! DOS(E_F) in states/eV/f.u.: 2.27
! E_form (uncorrected) in eV per atom: 0.309
! Energy above the lowest structure with this stoichiometry in meV/atom: 33
! Total magnetization in μB/cell: 0.61

***

! CuRuI, relaxed, DFT PBE-GGA; values from VASP
&SYSTEM
  ibrav = 0, nat = 6, ntyp = 3
/
ATOMIC_SPECIES
Cu 63.55 Cu.upf
Ru 101.07 Ru.upf
I 126.90 I.upf
CELL_PARAMETERS angstrom
3.397 -1.961 0.000
3.397 1.961 0.000
-2.223 0.000 10.561
ATOMIC_POSITIONS crystal
Cu 0.000 0.000 0.000
Cu 0.633 0.633 0.898
Ru 0.076 0.076 0.234
Ru 0.713 0.713 0.141
I 0.460 0.460 0.390
I 0.919 0.919 0.752
! Total DFT energy (no corrections) in eV/atom: -4.6981
! DOS(E_F) in states/eV/f.u.: 2.17
! E_form (uncorrected) in eV per atom: 0.276
! Energy above the lowest structure with this stoichiometry in meV/atom: 0
! Total magnetization in μB/cell: 0.60